# 1
VASP calculation (PBE) on crystalline LuTlPb at its relaxed geometry.

Geometry as POSCAR:
```
LuTlPb
1.0
0.0000 3.6220 3.6220
3.6220 0.0000 3.6220
3.6220 3.6220 0.0000
Lu Tl Pb
1 1 1
direct
0.0000 0.0000 0.0000 Lu
0.2500 0.2500 0.2500 Tl
0.5000 0.5000 0.5000 Pb
```

Results
total moment: 0.00 μB per formula unit
space-group type: F-43m, No. 216

# 2
VASP calculation (PBE) on crystalline Cs2NaAgF6 at its relaxed geometry.

Geometry as POSCAR:
```
Cs2NaAgF6
1.0
0.0000 4.2744 4.2744
4.2744 0.0000 4.2744
4.2744 4.2744 0.0000
Cs Na Ag F
2 1 1 6
direct
0.2500 0.2500 0.2500 Cs
0.7500 0.7500 0.7500 Cs
0.0000 0.0000 0.0000 Na
0.5000 0.5000 0.5000 Ag
0.2557 0.2557 0.7443 F
0.2557 0.7443 0.2557 F
0.2557 0.7443 0.7443 F
0.7443 0.2557 0.2557 F
0.7443 0.2557 0.7443 F
0.7443 0.7443 0.2557 F
```

Results
space-group type: Fm-3m, No. 225
energy above the most stable polymorph in this dataset: 21 meV/atom

# 3
VASP calculation (PBE) on crystalline BaNp2S4 at its relaxed geometry.

Geometry as POSCAR:
```
BaNp2S4
1.0
2.0377 -6.5586 0.0000
2.0377 6.5586 0.0000
0.0000 0.0000 13.5427
Ba Np S
2 4 8
direct
0.1104 0.8896 0.7500 Ba
0.8896 0.1104 0.2500 Ba
0.3685 0.6315 0.5621 Np
0.3685 0.6315 0.9379 Np
0.6315 0.3685 0.0621 Np
0.6315 0.3685 0.4379 Np
0.0000 0.0000 0.0000 S
0.0000 0.0000 0.5000 S
0.2629 0.7371 0.1108 S
0.2629 0.7371 0.3892 S
0.4317 0.5683 0.7500 S
0.5683 0.4317 0.2500 S
0.7371 0.2629 0.6108 S
0.7371 0.2629 0.8892 S
```

Results
total moment: 8.00 μB per formula unit
space-group type: Cmcm, No. 63

# 4
VASP calculation (PBE) on crystalline LiTaReSb at its relaxed geometry.

Geometry as POSCAR:
```
LiTaReSb
1.0
0.0000 3.1964 3.1964
3.1964 0.0000 3.1964
3.1964 3.1964 0.0000
Li Ta Re Sb
1 1 1 1
direct
0.0000 0.0000 0.0000 Li
0.2500 0.2500 0.2500 Ta
0.7500 0.7500 0.7500 Re
0.5000 0.5000 0.5000 Sb
```

Results
total moment: 0.00 μB per formula unit
space-group type: F-43m, No. 216
energy above the most stable polymorph in this dataset: 633 meV/atom

# 5
VASP calculation (PBE) on crystalline NaPd3Se5 at its relaxed geometry.

Geometry as POSCAR:
```
NaPd3Se5
1.0
6.0795 0.0000 0.0000
-3.0398 5.2650 0.0000
0.0000 0.0000 6.7503
Na Pd Se
1 3 5
direct
0.0000 0.0000 0.0000 Na
0.0000 0.5000 0.5000 Pd
0.5000 0.0000 0.5000 Pd
0.5000 0.5000 0.5000 Pd
0.0000 0.0000 0.5000 Se
0.3333 0.6667 0.2375 Se
0.3333 0.6667 0.7625 Se
0.6667 0.3333 0.2375 Se
0.6667 0.3333 0.7625 Se
```

Results
space-group type: P6/mmm, No. 191

# 6
VASP calculation (PBE) on crystalline ZrHgOs at its relaxed geometry.

Geometry as POSCAR:
```
ZrHgOs
1.0
0.0000 3.2302 3.2302
3.2302 0.0000 3.2302
3.2302 3.2302 0.0000
Zr Hg Os
1 1 1
direct
0.0000 0.0000 0.0000 Zr
0.7500 0.7500 0.7500 Hg
0.2500 0.2500 0.2500 Os
```

Results
total moment: 0.00 μB per formula unit
formation energy: 13.5 kcal/mol of atoms
space-group type: F-43m, No. 216
energy above the most stable polymorph in this dataset: 285 meV/atom

| no. | total DFT energy (no corrections) (eV/atom) |
| --- | --- |
| 1 | -3.430 |
| 2 | -3.751 |
| 3 | -7.933 |
| 4 | -7.054 |
| 5 | -4.077 |
| 6 | -6.106 |